# GGA-PBE SmTm3Sc2Te6, optimized geometry
# - Formation energy (no corrections): -14.13 eV per formula unit
# - Uncorrected energy: -63.78 eV per formula unit
# - Density of states at the Fermi level: 7.79 states/eV/f.u.
# - Magnetic moment: 0.000 μB per cell
data_SmTm3Sc2Te6
_cell_length_a 18.670
_cell_length_b 4.268
_cell_length_c 8.603
_cell_angle_alpha 90.00
_cell_angle_beta 102.94
_cell_angle_gamma 90.00
_space_group_name_H-M_alt 'C 1 2/m 1'
_space_group_IT_number 12
_space_group_name_Hall '-C 2y'
loop_
_atom_site_label
_atom_site_fract_x
_atom_site_fract_y
_atom_site_fract_z
_atom_site_occupancy
Sm1 0.000 0.000 0.000 1
Tm1 0.000 0.000 0.500 1
Tm2 0.159 0.500 0.832 1
Sc1 0.163 0.500 0.329 1
Te1 0.005 0.500 0.261 1
Te2 0.170 0.000 0.580 1
Te3 0.173 0.000 0.093 1

---

# GGA-PBE SmTm2ScTe4, optimized geometry
# - Formation energy (no corrections): -9.55 eV per formula unit
# - Uncorrected energy: -42.11 eV per formula unit
# - Density of states at the Fermi level: 5.19 states/eV/f.u.
# - Magnetic moment: 0.000 μB per cell
data_SmTm2ScTe4
_cell_length_a 7.487
_cell_length_b 4.258
_cell_length_c 7.514
_cell_angle_alpha 90.00
_cell_angle_beta 108.81
_cell_angle_gamma 90.00
_space_group_name_H-M_alt 'P 1 2/m 1'
_space_group_IT_number 10
_space_group_name_Hall '-P 2y'
loop_
_atom_site_label
_atom_site_fract_x
_atom_site_fract_y
_atom_site_fract_z
_atom_site_occupancy
Sm1 0.000 0.000 0.000 1
Tm1 0.500 0.000 0.500 1
Tm2 0.500 0.500 0.000 1
Sc1 0.000 0.500 0.500 1
Te1 0.248 0.000 0.740 1
Te2 0.255 0.500 0.261 1

---

# GGA-PBE Sm3Y3ScTe8, optimized geometry
# - Formation energy (no corrections): -20.60 eV per formula unit
# - Uncorrected energy: -85.61 eV per formula unit
# - Density of states at the Fermi level: 7.56 states/eV/f.u.
# - Magnetic moment: 0.000 μB per cell
data_Sm3Y3ScTe8
_cell_length_a 8.7428
_cell_length_b 8.7428
_cell_length_c 21.5028
_cell_angle_alpha 90.00
_cell_angle_beta 90.00
_cell_angle_gamma 120.00
_space_group_name_H-M_alt 'R -3 m'
_space_group_IT_number 166
_space_group_name_Hall '-R 3 2"'
loop_
_atom_site_label
_atom_site_fract_x
_atom_site_fract_y
_atom_site_fract_z
_atom_site_occupancy
Sm1 0.0000 0.5000 0.0000 1
Y1 0.0000 0.5000 0.5000 1
Sc1 0.0000 0.0000 0.5000 1
Te1 0.0000 0.0000 0.2479 1
Te2 0.0026 0.5013 0.2472 1

---

# GGA-PBE Sm3Y2ScTe6, optimized geometry
# - Formation energy (no corrections): -15.70 eV per formula unit
# - Uncorrected energy: -67.97 eV per formula unit
# - Density of states at the Fermi level: 6.86 states/eV/f.u.
# - Magnetic moment: 0.000 μB per cell
data_Sm3Y2ScTe6
_cell_length_a 19.105
_cell_length_b 4.348
_cell_length_c 8.799
_cell_angle_alpha 90.00
_cell_angle_beta 103.77
_cell_angle_gamma 90.00
_space_group_name_H-M_alt 'C 1 2/m 1'
_space_group_IT_number 12
_space_group_name_Hall '-C 2y'
loop_
_atom_site_label
_atom_site_fract_x
_atom_site_fract_y
_atom_site_fract_z
_atom_site_occupancy
Sm1 0.000 0.000 0.000 1
Sm2 0.172 0.500 0.337 1
Y1 0.167 0.500 0.834 1
Sc1 0.000 0.000 0.500 1
Te1 0.001 0.500 0.265 1
Te2 0.159 0.000 0.584 1
Te3 0.168 0.000 0.080 1

---

# GGA-PBE Sm3YSc2Te6, optimized geometry
# - Formation energy (no corrections): -15.25 eV per formula unit
# - Uncorrected energy: -67.39 eV per formula unit
# - Density of states at the Fermi level: 7.14 states/eV/f.u.
# - Magnetic moment: 0.000 μB per cell
data_Sm3YSc2Te6
_cell_length_a 18.977
_cell_length_b 4.312
_cell_length_c 8.741
_cell_angle_alpha 90.00
_cell_angle_beta 104.02
_cell_angle_gamma 90.00
_space_group_name_H-M_alt 'C 1 2/m 1'
_space_group_IT_number 12
_space_group_name_Hall '-C 2y'
loop_
_atom_site_label
_atom_site_fract_x
_atom_site_fract_y
_atom_site_fract_z
_atom_site_occupancy
Sm1 0.000 0.000 0.000 1
Sm2 0.161 0.500 0.329 1
Y1 0.000 0.000 0.500 1
Sc1 0.166 0.500 0.832 1
Te1 0.008 0.500 0.749 1
Te2 0.168 0.000 0.597 1
Te3 0.172 0.000 0.070 1

---

# GGA-PBE Sm4Y3ScTe8, optimized geometry
# - Formation energy (no corrections): -21.01 eV per formula unit
# - Uncorrected energy: -90.74 eV per formula unit
# - Density of states at the Fermi level: 12.28 states/eV/f.u.
# - Magnetic moment: 0.000 μB per cell
data_Sm4Y3ScTe8
_cell_length_a 8.7325
_cell_length_b 8.7325
_cell_length_c 21.6470
_cell_angle_alpha 90.00
_cell_angle_beta 90.00
_cell_angle_gamma 120.00
_space_group_name_H-M_alt 'R -3 m'
_space_group_IT_number 166
_space_group_name_Hall '-R 3 2"'
loop_
_atom_site_label
_atom_site_fract_x
_atom_site_fract_y
_atom_site_fract_z
_atom_site_occupancy
Sm1 0.0000 0.0000 0.0000 1
Sm2 0.0000 0.5000 0.0000 1
Y1 0.0000 0.5000 0.5000 1
Sc1 0.0000 0.0000 0.5000 1
Te1 0.0000 0.0000 0.2477 1
Te2 0.0070 0.5035 0.2460 1

---

# GGA-PBE SmTh2Sc6, optimized geometry
# - Energy relative to the elements: 0.100 eV per atom
# - Uncorrected energy: -56.65 eV per formula unit
# - Density of states at the Fermi level: 17.04 states/eV/f.u.
# - Energy above the lowest structure with this stoichiometry: 62 meV per atom
# - Magnetic moment: 0.001 μB per cell
data_SmTh2Sc6
_cell_length_a 3.3938
_cell_length_b 3.3938
_cell_length_c 24.7653
_cell_angle_alpha 90.00
_cell_angle_beta 90.00
_cell_angle_gamma 120.00
_space_group_name_H-M_alt 'P -6 m 2'
_space_group_IT_number 187
_space_group_name_Hall 'P -6 2'
loop_
_atom_site_label
_atom_site_fract_x
_atom_site_fract_y
_atom_site_fract_z
_atom_site_occupancy
Sm1 0.0000 0.0000 0.0000 1
Th1 0.3333 0.6667 0.3295 1
Sc1 0.0000 0.0000 0.2145 1
Sc2 0.0000 0.0000 0.4395 1
Sc3 0.3333 0.6667 0.1132 1

---

# GGA-PBE SmTh6Sc4, optimized geometry
# - Energy relative to the elements: 0.418 eV per atom
# - Uncorrected energy: -69.97 eV per formula unit
# - Density of states at the Fermi level: 16.51 states/eV/f.u.
# - Magnetic moment: 0.000 μB per cell
data_SmTh6Sc4
_cell_length_a 7.633
_cell_length_b 7.633
_cell_length_c 11.943
_cell_angle_alpha 90.00
_cell_angle_beta 90.00
_cell_angle_gamma 90.00
_space_group_name_H-M_alt 'I -4 2 m'
_space_group_IT_number 121
_space_group_name_Hall 'I -4 2'
loop_
_atom_site_label
_atom_site_fract_x
_atom_site_fract_y
_atom_site_fract_z
_atom_site_occupancy
Sm1 0.000 0.000 0.000 1
Th1 0.000 0.500 0.000 1
Th2 0.206 0.206 0.707 1
Sc1 0.160 0.160 0.428 1

---

What is the uncorrected energy in the eighth record?
-69.97 eV per formula unit

---

Which formula does entry 7 have?
SmTh2Sc6